Er3TaO7: optimized geometry, PBEsol.

Cell and atoms, written as POSCAR:
```
Er3TaO7
1.0
6.3645 0.0195 0.0000
-2.0625 6.0211 0.0000
0.0000 0.0000 7.3285
O Er Ta
14 6 2
Cartesian
4.4466 4.0408 3.8416
0.9789 3.8551 1.8321
1.0611 3.7965 5.4963
2.4289 5.7230 0.3401
3.3231 2.1855 5.4963
1.9371 0.5172 7.1511
2.3649 5.5234 3.4869
-1.4488 5.5840 1.8321
1.8732 0.3176 4.0043
5.7508 0.4565 5.4963
4.6143 4.1665 6.9884
3.2409 2.2441 1.8321
-0.1446 1.9998 0.1773
-0.3123 1.8740 3.3242
5.4082 2.8105 5.4259
3.4142 0.0107 5.5668
0.8878 6.0299 1.9025
-1.1062 3.2301 1.7617
2.3007 3.2305 3.6642
2.0013 2.8101 0.0000
4.2955 6.0314 0.0000
0.0065 0.0091 3.6642
```

Calculated values
As for the uncorrected formation energy: -3486 meV/atom. Its symmetry is No. 20. For the energy above the lowest structure with this stoichiometry, the calculation gives 6 meV/atom. For the magnetization, the calculation gives 0.00 μB per cell.